# 1
# PrLu

A relaxed structure of PrLu (PBE-GGA, the Alexandria database).

Structure (POSCAR):
```
PrLu
1.0
5.740 0.000 0.000
0.000 3.679 0.000
0.000 0.000 6.266
Pr Lu
2 2
Direct
0.250 0.000 0.174
0.750 0.000 0.826
0.250 0.500 0.665
0.750 0.500 0.335
```

Spin magnetization in μB per cell: 0.00
Total DFT energy (no corrections) in eV/atom: -4.627
Polymorph energy (0 for the lowest one) in eV per atom: 0.000
Energy of formation in meV per atom: 23



# 2
# PrLuPt4

A relaxed structure of PrLuPt4 (PBE-GGA, the Alexandria database).

Structure (POSCAR):
```
PrLuPt4
1.0
0.000 3.866 3.866
3.866 0.000 3.866
3.866 3.866 0.000
Pr Lu Pt
1 1 4
Direct
0.000 0.000 0.000
0.250 0.250 0.250
0.127 0.624 0.624
0.624 0.127 0.624
0.624 0.624 0.127
0.624 0.624 0.624
```

Spin magnetization in μB per cell: 0.00
Total DFT energy (no corrections) in eV/atom: -6.653
Energy of formation in meV per atom: -1075



# 3
# PrLuPt

A relaxed structure of PrLuPt (PBE-GGA, the Alexandria database).

Structure (POSCAR):
```
PrLuPt
1.0
4.632 0.000 0.000
-2.316 4.011 0.000
0.000 0.000 4.356
Pr Lu Pt
1 1 1
Direct
0.000 0.000 0.000
0.667 0.333 0.507
0.333 0.667 0.363
```

Spin magnetization in μB per cell: 0.00
Total DFT energy (no corrections) in eV/atom: -5.798
Polymorph energy (0 for the lowest one) in eV per atom: 0.112
Energy of formation in meV per atom: -684



# 4
# Pr3Lu5Pt12

A relaxed structure of Pr3Lu5Pt12 (PBE-GGA, the Alexandria database).

Structure (POSCAR):
```
Pr3Lu5Pt12
1.0
-8.131 8.131 8.131
8.131 -8.131 8.131
8.131 8.131 -8.131
Pr Lu Pt
12 20 48
Direct
0.125 0.250 0.375
0.125 0.375 0.750
0.250 0.375 0.125
0.250 0.875 0.625
0.375 0.125 0.250
0.375 0.750 0.125
0.625 0.250 0.875
0.625 0.875 0.750
0.750 0.125 0.375
0.750 0.625 0.875
0.875 0.625 0.250
0.875 0.750 0.625
0.000 0.000 0.000
0.000 0.000 0.500
0.000 0.500 0.000
0.000 0.500 0.500
0.125 0.750 0.875
0.125 0.875 0.250
0.250 0.125 0.875
0.250 0.625 0.375
0.375 0.250 0.625
0.375 0.625 0.750
0.500 0.000 0.000
0.500 0.000 0.500
0.500 0.500 0.000
0.500 0.500 0.500
0.625 0.375 0.250
0.625 0.750 0.375
0.750 0.375 0.625
0.750 0.875 0.125
0.875 0.125 0.750
0.875 0.250 0.125
0.064 0.225 0.144
0.064 0.338 0.920
0.080 0.644 0.419
0.080 0.936 0.662
0.081 0.725 0.662
0.081 0.856 0.420
0.144 0.064 0.225
0.144 0.580 0.919
0.162 0.225 0.581
0.162 0.436 0.580
0.225 0.144 0.064
0.225 0.581 0.162
0.275 0.338 0.919
0.275 0.436 0.356
0.338 0.919 0.275
0.338 0.920 0.064
0.356 0.275 0.436
0.356 0.581 0.920
0.419 0.080 0.644
0.419 0.838 0.775
0.420 0.081 0.856
0.420 0.838 0.564
0.436 0.356 0.275
0.436 0.580 0.162
0.564 0.420 0.838
0.564 0.644 0.725
0.580 0.162 0.436
0.580 0.919 0.144
0.581 0.162 0.225
0.581 0.920 0.356
0.644 0.419 0.080
0.644 0.725 0.564
0.662 0.080 0.936
0.662 0.081 0.725
0.725 0.564 0.644
0.725 0.662 0.081
0.775 0.419 0.838
0.775 0.856 0.936
0.838 0.564 0.420
0.838 0.775 0.419
0.856 0.420 0.081
0.856 0.936 0.775
0.919 0.144 0.580
0.919 0.275 0.338
0.920 0.064 0.338
0.920 0.356 0.581
0.936 0.662 0.080
0.936 0.775 0.856
```

Spin magnetization in μB per cell: 0.00
Total DFT energy (no corrections) in eV/atom: -6.036
Energy of formation in meV per atom: -564



# 5
# PrLuPt

A relaxed structure of PrLuPt (PBE-GGA, the Alexandria database).

Structure (POSCAR):
```
PrLuPt
1.0
0.000 3.482 3.482
3.482 0.000 3.482
3.482 3.482 0.000
Pr Lu Pt
1 1 1
Direct
0.000 0.000 0.000
0.500 0.500 0.500
0.750 0.750 0.750
```

Spin magnetization in μB per cell: 0.00
Total DFT energy (no corrections) in eV/atom: -5.910
Polymorph energy (0 for the lowest one) in eV per atom: 0.000
Energy of formation in meV per atom: -797



# 6
# PrLuPtRh

A relaxed structure of PrLuPtRh (PBE-GGA, the Alexandria database).

Structure (POSCAR):
```
PrLuPtRh
1.0
0.000 3.503 3.503
3.503 0.000 3.503
3.503 3.503 0.000
Pr Lu Pt Rh
1 1 1 1
Direct
0.000 0.000 0.000
0.500 0.500 0.500
0.750 0.750 0.750
0.250 0.250 0.250
```

Spin magnetization in μB per cell: 0.00
Total DFT energy (no corrections) in eV/atom: -6.607
Energy of formation in meV per atom: -934



# 7
# PrLuRuPt

A relaxed structure of PrLuRuPt (PBE-GGA, the Alexandria database).

Structure (POSCAR):
```
PrLuRuPt
1.0
0.000 3.485 3.485
3.485 0.000 3.485
3.485 3.485 0.000
Pr Lu Ru Pt
1 1 1 1
Direct
0.000 0.000 0.000
0.500 0.500 0.500
0.250 0.250 0.250
0.750 0.750 0.750
```

Spin magnetization in μB per cell: 0.00
Total DFT energy (no corrections) in eV/atom: -6.814
Energy of formation in meV per atom: -660



# 8
# PrLuTlPt

A relaxed structure of PrLuTlPt (PBE-GGA, the Alexandria database).

Structure (POSCAR):
```
PrLuTlPt
1.0
0.000 3.685 3.685
3.685 0.000 3.685
3.685 3.685 0.000
Pr Lu Tl Pt
1 1 1 1
Direct
0.000 0.000 0.000
0.500 0.500 0.500
0.250 0.250 0.250
0.750 0.750 0.750
```

Spin magnetization in μB per cell: 0.00
Total DFT energy (no corrections) in eV/atom: -5.052
Energy of formation in meV per atom: -625



# 9
# PrLuPu

A relaxed structure of PrLuPu (PBE-GGA, the Alexandria database).

Structure (POSCAR):
```
PrLuPu
1.0
-1.767 1.767 7.426
1.767 -1.767 7.426
1.767 1.767 -7.426
Pr Lu Pu
1 1 1
Direct
0.000 0.000 0.000
0.327 0.327 0.000
0.668 0.668 0.000
```

Spin magnetization in μB per cell: 6.12
Total DFT energy (no corrections) in eV/atom: -7.750
Energy of formation in meV per atom: 127



# 10
# PrLuPuTh

A relaxed structure of PrLuPuTh (PBE-GGA, the Alexandria database).

Structure (POSCAR):
```
PrLuPuTh
1.0
0.000 3.965 3.965
3.965 0.000 3.965
3.965 3.965 0.000
Pr Lu Pu Th
1 1 1 1
Direct
0.000 0.000 0.000
0.250 0.250 0.250
0.750 0.750 0.750
0.500 0.500 0.500
```

Spin magnetization in μB per cell: 7.69
Total DFT energy (no corrections) in eV/atom: -7.551
Energy of formation in meV per atom: 212



# 11
# RbPr2Lu

A relaxed structure of RbPr2Lu (PBE-GGA, the Alexandria database).

Structure (POSCAR):
```
RbPr2Lu
1.0
1.847 1.066 13.529
-1.847 1.066 13.529
0.000 -2.132 13.529
Rb Pr Lu
1 2 1
Direct
0.000 0.000 0.000
0.097 0.097 0.097
0.903 0.903 0.903
0.500 0.500 0.500
```

Spin magnetization in μB per cell: 0.00
Total DFT energy (no corrections) in eV/atom: -3.516
Energy of formation in meV per atom: 246



# 12
# Pr2LuRh

A relaxed structure of Pr2LuRh (PBE-GGA, the Alexandria database).

Structure (POSCAR):
```
Pr2LuRh
1.0
1.851 1.069 10.673
-1.851 1.069 10.673
0.000 -2.138 10.673
Pr Lu Rh
2 1 1
Direct
0.108 0.108 0.108
0.892 0.892 0.892
0.000 0.000 0.000
0.500 0.500 0.500
```

Spin magnetization in μB per cell: 0.00
Total DFT energy (no corrections) in eV/atom: -5.384
Polymorph energy (0 for the lowest one) in eV per atom: 0.197
Energy of formation in meV per atom: -26



Question: The highest spin magnetization belongs to which entry?
Answer: PrLuPuTh



Question: Among the records above, which one has the highest total DFT energy (no corrections)?
Answer: RbPr2Lu